Compound: As2PW
Source: the Alexandria database
Functional: PBE
Structure: relaxed

Lattice parameters (Å, degrees): 4.521 4.446 4.446 58.87 90.00 90.00
Positions (direct):
As 0.000 0.000 0.000
As 0.500 0.449 0.449
P 0.000 0.667 0.667
W 0.500 0.798 0.798

Calculated values
spin magnetization	0.0	μB per cell
final energy	-6.685	eV per atom
density	7.92	Mg/m³



Compound: ZrInSb2
Source: the Alexandria database
Functional: PBE
Structure: relaxed

Lattice parameters (Å, degrees): 11.331 11.331 11.331 16.87 16.87 16.87
Positions (direct):
Zr 0.000 0.000 0.000
In 0.259 0.259 0.259
Sb 0.518 0.518 0.518
Sb 0.740 0.740 0.740

Calculated values
spin magnetization	0.0	μB per cell
uncorrected formation energy	-0.088	eV/f.u.
density	6.98	Mg/m³



Compound: CeNd10Ho6
Source: the Alexandria database
Functional: PBE
Structure: relaxed

Lattice parameters (Å, degrees): 9.841 9.841 6.925 90.00 90.00 120.00
Positions (direct):
Ce 0.000 0.000 0.000
Nd 0.000 0.274 0.316
Nd 0.000 0.726 0.684
Nd 0.274 0.000 0.316
Nd 0.274 0.274 0.684
Nd 0.333 0.667 0.000
Nd 0.333 0.667 0.500
Nd 0.667 0.333 0.000
Nd 0.667 0.333 0.500
Nd 0.726 0.000 0.684
Nd 0.726 0.726 0.316
Ho 0.000 0.370 0.810
Ho 0.000 0.630 0.190
Ho 0.370 0.000 0.810
Ho 0.370 0.370 0.190
Ho 0.630 0.000 0.190
Ho 0.630 0.630 0.810

Calculated values
spin magnetization	0.7	μB per cell
final energy	-4.619	eV per atom
density	7.35	Mg/m³



Compound: Si2TeIr
Source: the Alexandria database
Functional: PBE
Structure: relaxed

Lattice parameters (Å, degrees): 4.542 3.361 4.707 90.00 102.91 90.00
Positions (direct):
Si 0.000 0.000 0.000
Si 0.500 0.500 0.000
Te 0.000 0.500 0.500
Ir 0.500 0.000 0.500

Calculated values
spin magnetization	0.0	μB per cell
uncorrected formation energy	2.263	eV/f.u.
density	8.91	Mg/m³



Compound: Tb2EuDy
Source: the Alexandria database
Functional: PBE
Structure: relaxed

Lattice parameters (Å, degrees): 3.610 3.610 10.324 90.00 90.00 90.00
Positions (direct):
Tb 0.000 0.000 0.234
Tb 0.000 0.000 0.766
Eu 0.500 0.500 0.500
Dy 0.500 0.500 0.000

Calculated values
spin magnetization	7.4	μB per cell
excess energy over the best structure of this formula in the dataset	0.0	meV per atom
density	7.80	Mg/m³



Compound: AcAgRu
Source: the Alexandria database
Functional: PBE
Structure: relaxed

Lattice parameters (Å, degrees): 6.932 6.932 5.444 103.48 103.48 37.11
Positions (direct):
Ac 0.118 0.118 0.316
Ac 0.882 0.882 0.684
Ag 0.420 0.420 0.246
Ag 0.580 0.580 0.754
Ru 0.226 0.226 0.905
Ru 0.774 0.774 0.095

Calculated values
spin magnetization	0.0	μB per cell
final energy	-5.477	eV per atom
density	9.46	Mg/m³



Compound: SrBeF
Source: the Alexandria database
Functional: PBE
Structure: relaxed

Lattice parameters (Å, degrees): 4.851 4.305 6.265 90.00 109.63 90.00
Positions (direct):
Sr 0.172 0.250 0.272
Sr 0.828 0.750 0.728
Be 0.468 0.250 0.913
Be 0.532 0.750 0.087
F 0.452 0.750 0.327
F 0.548 0.250 0.673

Calculated values
spin magnetization	0.0	μB per cell
excess energy over the best structure of this formula in the dataset	0.0	meV per atom
uncorrected formation energy	-4.549	eV/f.u.
density	3.12	Mg/m³



Compound: Ba2Si3Pt
Source: the Alexandria database
Functional: PBE
Structure: relaxed

Lattice parameters (Å, degrees): 4.088 5.122 7.420 90.00 90.00 90.00
Positions (direct):
Ba 0.000 0.000 0.000
Ba 0.500 0.000 0.498
Si 0.000 0.500 0.334
Si 0.500 0.500 0.155
Si 0.500 0.500 0.830
Pt 0.000 0.500 0.663

Calculated values
spin magnetization	0.0	μB per cell
uncorrected formation energy	-3.839	eV/f.u.
density	5.92	Mg/m³



Compound: RbSiAuSe3
Source: the Alexandria database
Functional: PBE
Structure: relaxed

Lattice parameters (Å, degrees): 8.692 8.692 8.798 114.77 114.77 42.53
Positions (direct):
Rb 0.240 0.240 0.246
Rb 0.760 0.760 0.754
Si 0.475 0.475 0.851
Si 0.525 0.525 0.149
Au 0.241 0.759 0.500
Au 0.759 0.241 0.500
Se 0.173 0.687 0.189
Se 0.313 0.827 0.811
Se 0.325 0.325 0.690
Se 0.675 0.675 0.310
Se 0.687 0.173 0.189
Se 0.827 0.313 0.811

Calculated values
spin magnetization	0.0	μB per cell
uncorrected formation energy	-3.068	eV/f.u.
density	4.53	Mg/m³



Compound: SmBiPd6
Source: the Alexandria database
Functional: PBE
Structure: relaxed

Lattice parameters (Å, degrees): 4.155 4.155 8.316 90.00 90.00 90.00
Positions (direct):
Sm 0.000 0.000 0.000
Bi 0.000 0.000 0.500
Pd 0.000 0.500 0.253
Pd 0.000 0.500 0.747
Pd 0.500 0.000 0.253
Pd 0.500 0.000 0.747
Pd 0.500 0.500 0.000
Pd 0.500 0.500 0.500

Calculated values
spin magnetization	0.0	μB per cell
excess energy over the best structure of this formula in the dataset	0.0	meV per atom
density	11.54	Mg/m³



Compound: Ce3ZnGa3
Source: the Alexandria database
Functional: PBE
Structure: relaxed

Lattice parameters (Å, degrees): 5.862 5.862 14.397 108.46 108.46 44.93
Positions (direct):
Ce 0.041 0.041 0.383
Ce 0.100 0.100 0.919
Ce 0.248 0.248 0.220
Ce 0.752 0.752 0.780
Ce 0.900 0.900 0.081
Ce 0.959 0.959 0.617
Zn 0.252 0.252 0.604
Zn 0.748 0.748 0.396
Ga 0.370 0.370 0.455
Ga 0.390 0.390 0.926
Ga 0.456 0.456 0.766
Ga 0.544 0.544 0.234
Ga 0.610 0.610 0.074
Ga 0.630 0.630 0.545

Calculated values
spin magnetization	5.9	μB per cell
final energy	-4.484	eV per atom
density	7.03	Mg/m³



Compound: Ba4SmTl5
Source: the Alexandria database
Functional: PBE
Structure: relaxed

Lattice parameters (Å, degrees): 4.154 4.154 21.564 90.00 90.00 90.00
Positions (direct):
Ba 0.000 0.000 0.103
Ba 0.000 0.000 0.311
Ba 0.000 0.000 0.689
Ba 0.000 0.000 0.897
Sm 0.000 0.000 0.500
Tl 0.500 0.500 0.000
Tl 0.500 0.500 0.205
Tl 0.500 0.500 0.420
Tl 0.500 0.500 0.580
Tl 0.500 0.500 0.795

Calculated values
spin magnetization	0.0	μB per cell
final energy	-2.806	eV per atom
density	7.68	Mg/m³